(1)
# InAuSe2, relaxed, DFT PBE-GGA
# Theoretical density = 8.2 g cm⁻³
# Formation energy from raw total energies = 0.010 eV per atom
# DFT total energy = -3.236 eV/atom
data_InAuSe2
_cell_length_a 7.549
_cell_length_b 7.549
_cell_length_c 6.665
_cell_angle_alpha 90.00
_cell_angle_beta 90.00
_cell_angle_gamma 90.00
_symmetry_space_group_name_H-M 'I 4/m c m'
_symmetry_Int_Tables_number 140
_symmetry_space_group_name_Hall '-I 4 2c'
loop_
_atom_site_label
_atom_site_type_symbol
_atom_site_fract_x
_atom_site_fract_y
_atom_site_fract_z
In1 In 0.000 0.500 0.250
Au1 Au 0.000 0.000 0.250
Se1 Se 0.192 0.308 0.000


(2)
# InAuSe2, relaxed, DFT PBE-GGA
# Theoretical density = 8.4 g cm⁻³
# Formation energy from raw total energies = -0.217 eV per atom
# DFT total energy = -3.463 eV/atom
data_InAuSe2
_cell_length_a 7.132
_cell_length_b 3.969
_cell_length_c 7.151
_cell_angle_alpha 90.00
_cell_angle_beta 113.44
_cell_angle_gamma 90.00
_symmetry_space_group_name_H-M 'C 1 2/m 1'
_symmetry_Int_Tables_number 12
loop_
_symmetry_equiv_pos_as_xyz
'x,y,z'
'-x,-y,-z'
'-x,y,-z'
'x,-y,z'
'x+1/2,y+1/2,z'
'-x+1/2,-y+1/2,-z'
'-x+1/2,y+1/2,-z'
'x+1/2,-y+1/2,z'
loop_
_atom_site_label
_atom_site_type_symbol
_atom_site_fract_x
_atom_site_fract_y
_atom_site_fract_z
In1 In 0.000 0.000 0.000
Au1 Au 0.000 0.500 0.500
Se1 Se 0.219 0.000 0.747